[1]
FeP2Pt | PBEsol | relaxed

Results
energy above the most stable polymorph in this dataset: 0.00 eV/f.u.
electronic total energy: -7.1022 eV/atom
formation energy: -21.7 kJ per mole of atoms
total moment: 0.00 μB/atom

The structure in CIF format:
```
data_FeP2Pt
_cell_length_a 5.090
_cell_length_b 5.090
_cell_length_c 10.196
_cell_angle_alpha 90.00
_cell_angle_beta 90.00
_cell_angle_gamma 90.00
_symmetry_space_group_name_H-M 'I -4 2 d'
_symmetry_Int_Tables_number 122
_symmetry_space_group_name_Hall 'I -4 2bw'
loop_
_atom_site_label
_atom_site_type_symbol
_atom_site_fract_x
_atom_site_fract_y
_atom_site_fract_z
Fe1 Fe 0.000 0.000 0.000
P1 P 0.219 0.250 0.125
Pt1 Pt 0.000 0.000 0.500
```

---

[2]
Fe2PPt | PBEsol | relaxed

Results
electronic total energy: -7.7160 eV/atom
formation energy: -4.4 kJ per mole of atoms
total moment: 0.30 μB/atom

The structure in CIF format:
```
data_Fe2PPt
_cell_length_a 3.605
_cell_length_b 3.605
_cell_length_c 3.540
_cell_angle_alpha 90.00
_cell_angle_beta 90.00
_cell_angle_gamma 90.00
_symmetry_space_group_name_H-M 'P 4/m m m'
_symmetry_Int_Tables_number 123
_symmetry_space_group_name_Hall '-P 4 2'
loop_
_atom_site_label
_atom_site_type_symbol
_atom_site_fract_x
_atom_site_fract_y
_atom_site_fract_z
Fe1 Fe 0.000 0.500 0.000
P1 P 0.000 0.000 0.500
Pt1 Pt 0.500 0.500 0.500
```

---

[3]
FePPt2 | PBEsol | relaxed

Results
electronic total energy: -7.1408 eV/atom
formation energy: 2.9 kJ per mole of atoms
total moment: 0.88 μB/atom

The structure in CIF format:
```
data_FePPt2
_cell_length_a 3.767
_cell_length_b 3.767
_cell_length_c 7.779
_cell_angle_alpha 90.00
_cell_angle_beta 90.00
_cell_angle_gamma 90.00
_symmetry_space_group_name_H-M 'I -4 m 2'
_symmetry_Int_Tables_number 119
_symmetry_space_group_name_Hall 'I -4 -2'
loop_
_atom_site_label
_atom_site_type_symbol
_atom_site_fract_x
_atom_site_fract_y
_atom_site_fract_z
Fe1 Fe 0.000 0.000 0.000
P1 P 0.000 0.500 0.250
Pt1 Pt 0.000 0.000 0.500
Pt2 Pt 0.000 0.500 0.750
```

---

[4]
RbFePPt2 | PBEsol | relaxed

Results
electronic total energy: -5.4058 eV/atom
formation energy: 51.7 kJ per mole of atoms
total moment: 0.56 μB/atom

The structure in CIF format:
```
data_RbFePPt2
_cell_length_a 4.837
_cell_length_b 4.837
_cell_length_c 4.233
_cell_angle_alpha 90.00
_cell_angle_beta 90.00
_cell_angle_gamma 90.00
_symmetry_space_group_name_H-M 'P 4/m m m'
_symmetry_Int_Tables_number 123
_symmetry_space_group_name_Hall '-P 4 2'
loop_
_atom_site_label
_atom_site_type_symbol
_atom_site_fract_x
_atom_site_fract_y
_atom_site_fract_z
Rb1 Rb 0.000 0.000 0.000
Fe1 Fe 0.500 0.500 0.500
P1 P 0.500 0.500 0.000
Pt1 Pt 0.000 0.500 0.500
```

---

[5]
RbFe3P | PBEsol | relaxed

Results
electronic total energy: -5.9905 eV/atom
formation energy: 72.5 kJ per mole of atoms
total moment: 1.58 μB/atom

The structure in CIF format:
```
data_RbFe3P
_cell_length_a 4.466
_cell_length_b 4.466
_cell_length_c 4.466
_cell_angle_alpha 90.00
_cell_angle_beta 90.00
_cell_angle_gamma 90.00
_symmetry_space_group_name_H-M 'P m -3 m'
_symmetry_Int_Tables_number 221
_symmetry_space_group_name_Hall '-P 4 2 3'
loop_
_atom_site_label
_atom_site_type_symbol
_atom_site_fract_x
_atom_site_fract_y
_atom_site_fract_z
Rb1 Rb 0.000 0.000 0.000
Fe1 Fe 0.000 0.500 0.500
P1 P 0.500 0.500 0.500
```

---

[6]
FeRe2P | PBEsol | relaxed

Results
electronic total energy: -10.5447 eV/atom
formation energy: -18.3 kJ per mole of atoms
total moment: 0.17 μB/atom

The structure in CIF format:
```
data_FeRe2P
_cell_length_a 2.825
_cell_length_b 4.197
_cell_length_c 8.355
_cell_angle_alpha 90.00
_cell_angle_beta 90.00
_cell_angle_gamma 90.00
_symmetry_space_group_name_H-M 'I m m 2'
_symmetry_Int_Tables_number 44
_symmetry_space_group_name_Hall 'I 2 -2'
loop_
_atom_site_label
_atom_site_type_symbol
_atom_site_fract_x
_atom_site_fract_y
_atom_site_fract_z
Fe1 Fe 0.000 0.000 0.000
Re1 Re 0.000 0.000 0.439
Re2 Re 0.000 0.500 0.221
P1 P 0.000 0.500 0.703
```